[1]
Material: Mg16PaAl12
Method: DFT, GGA-PBE
State: relaxed

Calculated values
Total magnetic moment: 0.00 μB/f.u.
E_tot: -2.801 eV/atom
Formation energy from the elements: -45 meV/atom
Distance to the lowest polymorph of the same formula: 0.000 eV per atom
DOS(E_F): 18.7 states/eV/cell

Cell lengths 9.133, 9.133, 9.133 Å; angles 109.47, 109.47, 109.47 degrees
Positions (direct):
Mg 0.679 0.679 0.285
Mg 0.606 0.321 0.000
Mg 0.606 0.000 0.321
Mg 0.321 0.000 0.606
Mg 0.000 0.606 0.321
Mg 0.679 0.285 0.679
Mg 0.362 0.000 0.000
Mg 0.638 0.638 0.638
Mg 0.394 0.715 0.394
Mg 0.715 0.394 0.394
Mg 0.000 0.321 0.606
Mg 0.321 0.606 0.000
Mg 0.285 0.679 0.679
Mg 0.000 0.000 0.362
Mg 0.394 0.394 0.715
Mg 0.000 0.362 0.000
Al 0.634 0.000 0.815
Al 0.819 0.185 0.185
Al 0.181 0.366 0.366
Al 0.815 0.634 0.000
Al 0.366 0.366 0.181
Al 0.000 0.815 0.634
Al 0.185 0.185 0.819
Al 0.815 0.000 0.634
Al 0.366 0.181 0.366
Al 0.185 0.819 0.185
Al 0.634 0.815 0.000
Al 0.000 0.634 0.815
Pa 0.000 0.000 0.000

=====

[2]
Material: VSeIN2
Method: DFT, GGA-PBE
State: relaxed

Calculated values
Total magnetic moment: 2.95 μB/f.u.
E_tot: -4.401 eV/atom
E_form (uncorrected): 1.760 eV/atom
Distance to the lowest polymorph of the same formula: 1.157 eV per atom
DOS(E_F): 6.7 states/eV/cell

Cell lengths 3.891, 3.891, 7.315 Å; angles 90.00, 90.00, 90.00 degrees
Site moments in Bohr magnetons follow the coordinates.
Positions (direct):
N 0.000 0.500 0.000  0.00
N 0.500 0.000 0.000  0.00
V 0.500 0.500 0.500  -2.70
Se 0.000 0.000 0.500  0.15
I 0.000 0.000 0.000  0.00